The following is a PBE calculation of an optimized crystal structure of Cu2NiPd3, from Alexandria.

Values from the calculation:
As for the total energy: -29.89 eV/cell. The calculation puts the formation energy at -56 meV/atom. For the energy above the most stable polymorph in this dataset, the calculation gives 0.0 meV/atom. As for the crystal system: tetragonal.

Cell lengths 2.928, 2.928, 9.531 Å; angles 90.00, 90.00, 90.00 degrees
Space group P4/mmm (No. 123)
One atom of each set of equivalent atoms:
Cu  0.000  0.000  0.167
Ni  0.000  0.000  0.500
Pd  0.500  0.500  0.000
Pd  0.500  0.500  0.336